# TiNb3H3

An optimized crystal structure of TiNb3H3 (PBE, the Alexandria database).

```
14
Lattice="3.385 -5.856 0.000 3.385 5.856 0.000 0.000 0.000 4.168" Properties=species:S:1:pos:R:3 pbc="T T T"
Ti 3.385 3.902 3.126
Ti 3.385 -3.902 1.042
Nb 1.638 1.006 3.126
Nb 1.638 -1.006 1.042
Nb 3.385 2.009 1.042
Nb 3.385 -2.009 3.126
Nb 5.132 1.006 3.126
Nb 5.132 -1.006 1.042
H 1.670 0.985 1.042
H 1.670 -0.985 3.126
H 3.385 1.971 3.126
H 3.385 -1.971 1.042
H 5.099 0.985 1.042
H 5.099 -0.985 3.126
```

Results
The volume comes out at 11.80 Å³/atom. The calculation puts the energy at -95.9 eV/cell.